Entry from the Alexandria database: an optimized crystal structure of Pu4As2PSe (PBE).

Output
As for the energy relative to the elements, uncorrected: -9.6 eV/f.u. The value obtained for the energy is -10.636 eV per atom. The calculation puts the density of states at the Fermi level at 4.78 states/eV/atom.

Cell lengths 7.1159, 4.1181, 7.1406 Å; angles 90.00, 109.47, 90.00 degrees
Closest atoms and distances in Å follow each position.
Fractional positions:
Pu  0.2445  0.0000  0.2417  2 P 2.87, 3 As 2.89-2.95, 1 Se 2.93
Pu  0.2493  0.5000  0.7567  1 P 2.87, 3 As 2.89-2.95, 2 Se 2.93
Pu  0.7507  0.5000  0.2433  1 P 2.87, 3 As 2.89-2.95, 2 Se 2.93
Pu  0.7555  0.0000  0.7583  2 P 2.87, 3 As 2.89-2.95, 1 Se 2.93
As  0.5000  0.0000  0.0000  6 Pu 2.89
As  0.5000  0.5000  0.5000  6 Pu 2.95
P  0.0000  0.5000  0.0000  6 Pu 2.87
Se  0.0000  0.0000  0.5000  6 Pu 2.93